[1]
Entry from Alexandria via LeMat-Bulk: a relaxed structure of Tb2Sm2Er7 (PBE-GGA).

Output
ΔE_f: 165 kJ/mol of formula units

Structure (CIF):
```
data_Tb2Sm2Er7
_chemical_formula_sum 'Tb4 Sm4 Er14'
_space_group_name_H-M_alt 'C 1 2/m 1'
_space_group_IT_number 12
_cell_length_a 11.1482
_cell_length_b 11.4855
_cell_length_c 6.0328
_cell_angle_alpha 90.00
_cell_angle_beta 113.77
_cell_angle_gamma 90.00
loop_
_space_group_symop_operation_xyz
'x,y,z'
'-x,-y,-z'
'-x,y,-z'
'x,-y,z'
'x+1/2,y+1/2,z'
'-x+1/2,-y+1/2,-z'
'-x+1/2,y+1/2,-z'
'x+1/2,-y+1/2,z'
loop_
_atom_site_label
_atom_site_type_symbol
_atom_site_fract_x
_atom_site_fract_y
_atom_site_fract_z
Tb1 Tb 0.0000 0.2128 0.0000
Sm1 Sm 0.0934 0.5000 0.3067
Er1 Er 0.0000 0.0000 0.5000
Er2 Er 0.1736 0.2375 0.6776
Er3 Er 0.2302 0.0000 0.0796
```

---

[2]
Entry from Alexandria via LeMat-Bulk: a relaxed structure of Pa3Al3Cu8 (PBE-GGA).

Output
ΔE_f: -179 kJ/mol of formula units

Structure (CIF):
```
data_Pa3Al3Cu8
_chemical_formula_sum 'Pa6 Al6 Cu16'
_space_group_name_H-M_alt 'I m m m'
_space_group_IT_number 71
_space_group_name_Hall '-I 2 2'
_cell_length_a 4.2116
_cell_length_b 8.8595
_cell_length_c 12.3136
_cell_angle_alpha 90.00
_cell_angle_beta 90.00
_cell_angle_gamma 90.00
loop_
_atom_site_label
_atom_site_type_symbol
_atom_site_fract_x
_atom_site_fract_y
_atom_site_fract_z
Pa1 Pa 0.0000 0.0000 0.0000
Pa2 Pa 0.0000 0.0000 0.2931
Al1 Al 0.0000 0.2078 0.5000
Al2 Al 0.0000 0.5000 0.0000
Cu1 Cu 0.0000 0.2827 0.1347
Cu2 Cu 0.0000 0.3618 0.3368
```

---

[3]
Entry from Alexandria via LeMat-Bulk: a relaxed structure of Ba2ZnBr (PBE-GGA).

Output
formation energy from raw total energies: -63.1 kJ per mole of atoms
ΔE to the lowest computed polymorph: 0.93 eV per formula unit

Structure (CIF):
```
data_Ba2ZnBr
_chemical_formula_sum 'Ba8 Zn4 Br4'
_space_group_name_H-M_alt 'F m -3 m'
_space_group_IT_number 225
_space_group_name_Hall '-F 4 2 3'
_cell_length_a 8.3988
_cell_length_b 8.3988
_cell_length_c 8.3988
_cell_angle_alpha 90.00
_cell_angle_beta 90.00
_cell_angle_gamma 90.00
loop_
_atom_site_label
_atom_site_type_symbol
_atom_site_fract_x
_atom_site_fract_y
_atom_site_fract_z
Ba1 Ba 0.2500 0.2500 0.2500
Zn1 Zn 0.0000 0.0000 0.0000
Br1 Br 0.0000 0.0000 0.5000
```